Record 1
{
  "formula": "Be5ZnPd4",
  "functional": "PBE-GGA",
  "state": "relaxed",
  "cell": [[2.838, 0.000, 0.000], [0.000, 2.838, 0.000], [0.000, 0.000, 14.075]],
  "species": ["Be", "Be", "Be", "Be", "Be", "Zn", "Pd", "Pd", "Pd", "Pd"],
  "frac_coords": [[0.500, 0.500, 0.101], [0.500, 0.500, 0.297], [0.500, 0.500, 0.500], [0.500, 0.500, 0.703], [0.500, 0.500, 0.899], [0.000, 0.000, 0.000], [0.000, 0.000, 0.198], [0.000, 0.000, 0.400], [0.000, 0.000, 0.600], [0.000, 0.000, 0.802]],
  "total_energy_ev_per_fu": -45.228,
  "formation_energy_ev_per_atom": -0.455,
  "dos_ef_per_ev_atom": 0.332
}

***

Record 2
{
  "formula": "BeZnPd2",
  "functional": "PBE-GGA",
  "state": "relaxed",
  "cell": [[2.807, 0.000, 0.000], [0.000, 2.807, 0.000], [0.000, 0.000, 6.557]],
  "species": ["Be", "Zn", "Pd", "Pd"],
  "frac_coords": [[0.500, 0.500, 0.000], [0.500, 0.500, 0.500], [0.000, 0.000, 0.782], [0.000, 0.000, 0.218]],
  "e_above_lowest_polymorph_mev_per_atom": 0,
  "total_energy_ev_per_fu": -17.675,
  "formation_energy_ev_per_atom": -0.572,
  "dos_ef_per_ev_atom": 0.171
}

***

Record 3
{
  "formula": "BeZn3Pd",
  "functional": "PBE-GGA",
  "state": "relaxed",
  "cell": [[4.779, 0.000, 0.000], [0.000, 4.779, 0.000], [0.000, 0.000, 4.779]],
  "species": ["Be", "Zn", "Zn", "Zn", "Pd"],
  "frac_coords": [[0.500, 0.500, 0.500], [0.000, 0.500, 0.000], [0.000, 0.000, 0.500], [0.500, 0.000, 0.000], [0.000, 0.000, 0.000]],
  "total_energy_ev_per_fu": -9.752,
  "formation_energy_ev_per_atom": 0.598,
  "dos_ef_per_ev_atom": 0.355
}

***

Record 4
{
  "formula": "BeZnPd2",
  "functional": "PBE-GGA",
  "state": "relaxed",
  "cell": [[-0.021, -2.792, 5.849], [6.465, 0.405, 0.216], [3.032, 1.220, 4.184]],
  "species": ["Be", "Be", "Zn", "Zn", "Pd", "Pd", "Pd", "Pd"],
  "frac_coords": [[0.500, 0.500, 0.000], [0.250, 0.750, 0.500], [0.000, 0.000, 0.000], [0.750, 0.250, 0.500], [0.575, 0.125, 0.250], [0.175, 0.625, 0.250], [0.375, 0.425, 0.750], [0.875, 0.825, 0.750]],
  "e_above_lowest_polymorph_mev_per_atom": 318,
  "total_energy_ev_per_fu": -16.402,
  "formation_energy_ev_per_atom": -0.254,
  "dos_ef_per_ev_atom": 0.138
}